BaNa2PuO4: optimized geometry, PBE-GGA.

abc: 4.768 4.768 12.008
angles: 90.00 90.00 90.00
Space group I-4m2 (No. 119)
One atom of each set of equivalent atoms:
Ba (0.000, 0.000, 0.000)
Na (0.000, 0.000, 0.500)
Na (0.000, 0.500, 0.250)
Pu (0.000, 0.500, 0.750)
O (0.000, 0.000, 0.241)
O (0.000, 0.500, 0.571)

Summary:
Total magnetization, μB/atom: 0.5000
Energy relative to the elements, uncorrected, eV/atom: -2.3003